A plane-wave DFT calculation with PBE-GGA was carried out for an optimized crystal structure of Pm3Pr2Nd6Pb.

## Properties
The calculation puts the energy relative to the elements at -65 meV/atom. As for the space-group type: C2/m (12). The value obtained for the energy is -4.74 eV/atom.

abc: 6.2965 6.2965 12.1094
angles: 95.04 95.04 120.11
Sites, in units of the cell vectors:
Pm  0.0000  0.0000  0.0000
Pm  0.3307  0.6693  0.0000
Pm  0.6693  0.3307  0.0000
Pr  0.1660  0.8340  0.5000
Pr  0.8340  0.1660  0.5000
Nd  0.0937  0.4174  0.2518
Nd  0.2594  0.2594  0.7502
Nd  0.4174  0.0937  0.2518
Nd  0.5826  0.9063  0.7482
Nd  0.7406  0.7406  0.2498
Nd  0.9063  0.5826  0.7482
Pb  0.5000  0.5000  0.5000